Below is a relaxed structure of ZrTl2ReIr, with properties calculated at the GGA-PBE level.

Cell lengths 5.080, 4.862, 5.080 Å; angles 90.00, 90.00, 90.00 degrees
Last column: magnetic moment on the atom in μB.
Fractional coordinates of all 5 atoms:
Re (0.000, 0.500, 0.000)  0.93
Zr (0.500, 0.500, 0.500)  -0.38
Ir (0.000, 0.000, 0.000)  -0.07
Tl (0.500, 0.000, 0.000)  0.00
Tl (0.000, 0.000, 0.500)  0.00

Volume   125.45 Å³/f.u.
Crystal system   tetragonal
VASP energy   -5.67 eV/atom
Fermi-level density of states   5.690 states/eV/f.u.
Spin magnetization   0.38 μB/f.u.